A plane-wave DFT calculation with GGA-PBE was carried out for an optimized crystal structure of TbYInIr.

a = 5.091 Å, b = 5.091 Å, c = 5.091 Å
α = 60.00°, β = 60.00°, γ = 60.00°
Fractional coordinates of all 4 atoms:
Tb (0.000, 0.000, 0.000)
Y (0.500, 0.500, 0.500)
In (0.250, 0.250, 0.250)
Ir (0.750, 0.750, 0.750)

Output
* E_form: -0.5482 eV/atom
* magnetization: 0.0 μB per cell